# 1
This record from the Alexandria database describes crystalline La2H2N at its relaxed geometry. The functional is PBE.

Lattice parameters (Å, degrees): 6.0634 6.3970 6.4173 119.90 118.19 90.00
With the nearest neighbours (Å) after each atom.
Element x y z (fractional)
La  0.6126  0.3844  0.2253  2 N 2.35, 3 H 2.49
La  0.3874  0.6156  0.7747  2 N 2.35, 3 H 2.49
La  0.8874  0.1592  0.7747  2 N 2.35, 3 H 2.49
La  0.1126  0.8408  0.2253  2 N 2.35, 3 H 2.49
H  0.6320  0.0151  0.2640  3 La 2.49
H  0.3680  0.9849  0.7360  3 La 2.49
H  0.1320  0.2490  0.2640  3 La 2.49
H  0.8680  0.7510  0.7360  3 La 2.49
N  0.2500  0.5000  0.0000  4 La 2.35
N  0.7500  0.5000  0.0000  4 La 2.35

## Properties
- total moment (μB per formula unit) = 0.000

***

# 2
This record from the Alexandria database describes crystalline La3H2N2 at its relaxed geometry. The functional is PBE.

Lattice parameters (Å, degrees): 3.8903 6.2974 6.9109 116.46 106.35 90.00
With the nearest neighbours (Å) after each atom.
Element x y z (fractional)
H  0.6232  0.4787  0.2464  3 La 2.58-2.59
H  0.3768  0.5213  0.7536  3 La 2.58-2.59
La  0.3134  0.8539  0.6267  3 N 2.36-2.40, 1 H 2.59
La  0.0000  0.5000  0.0000  2 N 2.40, 4 H 2.58
La  0.6866  0.1461  0.3733  3 N 2.36-2.40, 1 H 2.59
N  0.1461  0.9089  0.2923  4 La 2.36-2.40
N  0.8539  0.0911  0.7077  4 La 2.36-2.40

## Properties
- total moment (μB per formula unit) = 0.865

***

# 3
This record from the Alexandria database describes crystalline La4H2N at its relaxed geometry. The functional is PBE.

Lattice parameters (Å, degrees): 5.0507 5.0507 7.0052 68.87 68.87 90.00
With the nearest neighbours (Å) after each atom.
Element x y z (fractional)
La  0.7787  0.7787  0.4426  1 H 2.38
La  0.0000  0.5000  0.0000  2 N 2.53, 4 H 2.71
La  0.5000  0.0000  0.0000  2 N 2.53, 4 H 2.71
La  0.2213  0.2213  0.5574  1 H 2.38
N  0.0000  0.0000  0.0000  6 La 2.53-2.67
H  0.5816  0.5816  0.8367  1 H 1.97
H  0.4184  0.4184  0.1633  1 H 1.97

## Properties
- total moment (μB per formula unit) = 0.000

***

# 4
This record from the Alexandria database describes crystalline LaH3N at its relaxed geometry. The functional is PBE.

Lattice parameters (Å, degrees): 3.5738 3.5738 3.5738 90.00 90.00 90.00
With the nearest neighbours (Å) after each atom.
Element x y z (fractional)
N  0.0000  0.0000  0.0000  6 H 1.79
H  0.0000  0.0000  0.5000  2 N 1.79
H  0.0000  0.5000  0.0000  2 N 1.79
H  0.5000  0.0000  0.0000  2 N 1.79
La  0.5000  0.5000  0.5000  12 H 2.53

## Properties
- total moment (μB per formula unit) = 0.003
- E above lowest polymorph (meV per atom) = 0.0

***

# 5
This record from the Alexandria database describes crystalline La4HN3 at its relaxed geometry. The functional is PBE.

Lattice parameters (Å, degrees): 5.2700 5.2700 5.2700 90.00 90.00 90.00
With the nearest neighbours (Å) after each atom.
Element x y z (fractional)
N  0.0000  0.5000  0.5000  6 La 2.63
N  0.5000  0.0000  0.5000  6 La 2.63
N  0.5000  0.5000  0.0000  6 La 2.63
H  0.0000  0.0000  0.0000  6 La 2.63
La  0.0000  0.0000  0.5000  2 H 2.63, 4 N 2.63
La  0.0000  0.5000  0.0000  2 H 2.63, 4 N 2.63
La  0.5000  0.5000  0.5000  6 N 2.63
La  0.5000  0.0000  0.0000  2 H 2.63, 4 N 2.63

## Properties
- total moment (μB per formula unit) = 0.000
- E above lowest polymorph (meV per atom) = 95.5

***

# 6
This record from the Alexandria database describes crystalline La3HN at its relaxed geometry. The functional is PBE.

Lattice parameters (Å, degrees): 6.9685 5.9260 7.5046 86.86 117.66 90.00
With the nearest neighbours (Å) after each atom.
Element x y z (fractional)
H  0.7636  0.4963  0.5272  5 La 2.47-2.63
H  0.2364  0.5037  0.4728  5 La 2.47-2.63
N  0.7735  0.9835  0.5470  5 La 2.40-2.52
N  0.2265  0.0165  0.4530  5 La 2.40-2.52
La  0.9201  0.6994  0.8401  1 H 2.47, 1 N 2.49
La  0.9181  0.7792  0.3462  2 N 2.40-2.52, 2 H 2.52-2.63
La  0.4281  0.7792  0.3462  2 N 2.40-2.52, 2 H 2.52-2.63
La  0.0799  0.3006  0.1599  1 H 2.47, 1 N 2.49
La  0.0819  0.2208  0.6538  2 N 2.40-2.52, 2 H 2.52-2.63
La  0.5719  0.2208  0.6538  2 N 2.40-2.52, 2 H 2.52-2.63

## Properties
- total moment (μB per formula unit) = 0.005
- E above lowest polymorph (meV per atom) = 271.5

***

# 7
This record from the Alexandria database describes crystalline LaHN at its relaxed geometry. The functional is PBE.

Lattice parameters (Å, degrees): 3.4456 3.4456 9.8151 100.11 100.11 90.00
With the nearest neighbours (Å) after each atom.
Element x y z (fractional)
N  0.6442  0.6442  0.2883  1 H 1.04
N  0.3558  0.3558  0.7117  1 H 1.04
La  0.8948  0.8948  0.7896  4 N 2.55
La  0.1052  0.1052  0.2104  4 N 2.55
H  0.6989  0.6989  0.3979  1 N 1.04
H  0.3011  0.3011  0.6021  1 N 1.04

## Properties
- total moment (μB per formula unit) = 0.000

***

# 8
This record from the Alexandria database describes crystalline La8HN6 at its relaxed geometry. The functional is PBE.

Lattice parameters (Å, degrees): 3.7409 9.9236 9.9236 120.00 90.00 90.00
With the nearest neighbours (Å) after each atom.
Element x y z (fractional)
La  0.7472  0.3616  0.0360  4 N 2.46-2.69
La  0.2492  0.6667  0.3333  6 N 2.68-2.70
La  0.7472  0.6744  0.6384  4 N 2.46-2.69
La  0.7472  0.9640  0.3256  4 N 2.46-2.69
La  0.2527  0.6384  0.9640  4 N 2.46-2.69
La  0.7508  0.3333  0.6667  6 N 2.68-2.70
La  0.2527  0.0360  0.6744  4 N 2.46-2.69
La  0.2527  0.3256  0.3616  4 N 2.46-2.69
N  0.7532  0.8673  0.5209  6 La 2.46-2.70
N  0.2468  0.3464  0.8673  6 La 2.46-2.70
N  0.2468  0.1327  0.4791  6 La 2.46-2.70
N  0.7532  0.4791  0.3464  6 La 2.46-2.70
N  0.7532  0.6536  0.1327  6 La 2.46-2.70
N  0.2468  0.5209  0.6536  6 La 2.46-2.70
H  0.5000  0.0000  0.0000  6 La 3.55, 2 H 3.74

## Properties
- total moment (μB per formula unit) = 1.737

***

How do the records compare in energy? In the order shown, they have -28.84, -44.40, -38.34, -20.94, -56.40, -28.53, -18.71, -107.13 eV/f.u..